Record 1
The following is a PBE calculation of crystalline Na2NbAgF6 at its relaxed geometry, from the Alexandria database.

a = 6.330 Å, b = 6.330 Å, c = 6.330 Å
α = 60.00°, β = 60.00°, γ = 60.00°
Positions (direct):
Na 0.250 0.250 0.250
Na 0.750 0.750 0.750
Nb 0.000 0.000 0.000
Ag 0.500 0.500 0.500
F 0.231 0.231 0.769
F 0.231 0.769 0.231
F 0.231 0.769 0.769
F 0.769 0.231 0.231
F 0.769 0.231 0.769
F 0.769 0.769 0.231

Values from the calculation:
Volume (Å³/cell): 179.4
Energy relative to the elements, uncorrected (meV/atom): -2179


Record 2
The following is a PBE calculation of crystalline ZnAgP2 at its relaxed geometry, from the Alexandria database.

a = 2.923 Å, b = 2.923 Å, c = 7.887 Å
α = 90.00°, β = 90.00°, γ = 103.11°
Positions (direct):
Zn 0.000 0.000 0.000
Ag 0.000 0.000 0.500
P 0.500 0.500 0.234
P 0.500 0.500 0.766

Values from the calculation:
Volume (Å³/cell): 65.6
ΔE_f (eV per atom): 0.427